Entry 1:
# BeAlRe3

An optimized crystal structure of BeAlRe3 (PBE-GGA, the Alexandria database). Values from VASP.

Cell and atoms, written as Quantum ESPRESSO input:
```
&SYSTEM
  ibrav = 0, nat = 5, ntyp = 3
/
ATOMIC_SPECIES
Be 9.01 Be.upf
Re 186.21 Re.upf
Al 26.98 Al.upf
CELL_PARAMETERS angstrom
4.1581 0.0000 0.0000
0.0000 4.1581 0.0000
0.0000 0.0000 4.1581
ATOMIC_POSITIONS angstrom
Be 0.0000 0.0000 0.0000
Re 0.0000 0.0000 2.0790
Re 2.0790 0.0000 0.0000
Al 2.0790 2.0790 2.0790
Re 0.0000 2.0790 0.0000
```

Computed properties:
* DFT total energy: -41.4 eV for the cell shown
* D(E_F): 4.38 states/eV/f.u.
* density: 13734 kg/m3
* space-group type: Pm-3m, No. 221
* DFT formation energy: 0.683 eV per atom
* ΔE to the lowest computed polymorph: 0.0 meV/atom

Entry 2:
# Be3AlRe

An optimized crystal structure of Be3AlRe (PBE-GGA, the Alexandria database). Values from VASP.

Cell and atoms, written as Quantum ESPRESSO input:
```
&SYSTEM
  ibrav = 0, nat = 5, ntyp = 3
/
ATOMIC_SPECIES
Al 26.98 Al.upf
Be 9.01 Be.upf
Re 186.21 Re.upf
CELL_PARAMETERS angstrom
4.0451 0.0000 0.0000
0.0000 4.0451 0.0000
0.0000 0.0000 4.0451
ATOMIC_POSITIONS angstrom
Al 0.0000 0.0000 0.0000
Be 2.0226 0.0000 0.0000
Be 0.0000 0.0000 2.0226
Be 0.0000 2.0226 0.0000
Re 2.0226 2.0226 2.0226
```

Computed properties:
* DFT total energy: -19.7 eV for the cell shown
* D(E_F): 2.30 states/eV/f.u.
* density: 6027 kg/m3
* space-group type: Pm-3m, No. 221
* DFT formation energy: 1.526 eV per atom
* ΔE to the lowest computed polymorph: 518.0 meV/atom

Entry 3:
# Be2Al2Re

An optimized crystal structure of Be2Al2Re (PBE-GGA, the Alexandria database). Values from VASP.

Cell and atoms, written as Quantum ESPRESSO input:
```
&SYSTEM
  ibrav = 0, nat = 10, ntyp = 3
/
ATOMIC_SPECIES
Al 26.98 Al.upf
Be 9.01 Be.upf
Re 186.21 Re.upf
CELL_PARAMETERS angstrom
-0.0759 -2.6948 -5.5224
6.1409 0.1648 -0.1649
0.1155 -2.8937 1.4105
ATOMIC_POSITIONS angstrom
Al 4.1775 -1.8022 -0.3612
Al 5.0850 -3.1242 -3.1478
Be 5.3547 -0.8705 -2.2244
Be 0.7102 -1.6595 -3.4628
Be 2.3035 -0.2704 -0.7434
Re 0.0000 0.0000 0.0000
Al 1.0954 -2.2995 -1.1290
Be 3.7614 -2.2596 -4.9439
Re 3.0325 -1.2650 -2.8436
Al 2.0029 -3.6215 -3.9156
```

Computed properties:
* DFT total energy: -54.5 eV for the cell shown
* D(E_F): 1.85 states/eV/f.u.
* density: 7049 kg/m3
* space-group type: P4/mbm, No. 127
* DFT formation energy: 0.026 eV per atom